Density functional theory data (PBE-GGA) for Y7Ho2Sc2 after structural relaxation.

- energy above the most stable polymorph in this dataset (eV per formula unit) = 0.074
- raw total energy (eV/atom) = -5.941
- total moment (μB/f.u.) = 0.00
- ΔH_f (0 K) (eV/atom) = 0.16

abc: 3.6462 11.2516 16.9301
angles: 90.00 90.00 90.00
Closest atoms and distances in Å follow each position.
Space group Immm (No. 71)
Asymmetric unit:
Y1 0.0000 0.0000 0.0000 [2 per cell]  4 Sc 3.51, 6 Y 3.65-3.78, 4 Ho 3.76
Y2 0.0000 0.0000 0.3398 [4 per cell]  2 Sc 3.30, 6 Y 3.54-3.65, 2 Ho 3.58
Y3 0.0000 0.2306 0.1627 [8 per cell]  2 Sc 3.18, 2 Ho 3.38, 4 Y 3.50-3.54
Ho1 0.0000 0.2072 0.5000 [4 per cell]  8 Y 3.38-3.76, 2 Ho 3.65
Sc1 0.0000 0.5000 0.3227 [4 per cell]  8 Y 3.18-3.51


Density functional theory data (PBE-GGA) for ErBi2Rh after structural relaxation.

- raw total energy (eV/atom) = -4.960
- total moment (μB/f.u.) = 0.00
- ΔH_f (0 K) (eV/atom) = -0.04

abc: 3.5447 3.5447 30.1930
angles: 90.00 90.00 120.00
Closest atoms and distances in Å follow each position.
Space group R-3m (No. 166, hexagonal axes)
Asymmetric unit:
Er1 0.0000 0.0000 0.0000 [3 per cell]  2 Bi 3.13
Bi1 0.0000 0.0000 0.1037 [6 per cell]  3 Rh 2.79
Rh1 0.0000 0.0000 0.5000 [3 per cell]  6 Bi 2.79


Density functional theory data (PBE-GGA) for Nd3ZnN after structural relaxation.

- energy above the most stable polymorph in this dataset (eV per formula unit) = 0.265
- raw total energy (eV/atom) = -5.411
- energy relative to the elements, uncorrected (eV/atom) = -0.63
- total moment (μB/f.u.) = 0.00

abc: 14.7224 3.7237 8.9375
angles: 90.00 91.51 90.00
Closest atoms and distances in Å follow each position.
Space group C2/m (No. 12)
Asymmetric unit:
Nd1 0.0470 0.0000 0.2738 [4 per cell]  1 N 2.50
Nd2 0.1498 0.5000 0.9711 [4 per cell]  3 N 2.52-2.53
Nd3 0.2459 0.0000 0.6820 [4 per cell]  2 N 2.53
Zn1 0.0889 0.5000 0.5520 [4 per cell]  1 Zn 2.76
N1 0.1973 0.0000 0.1489 [4 per cell]  6 Nd 2.50-2.53


Density functional theory data (PBE-GGA) for Bi2SF2 after structural relaxation.

- raw total energy (eV/atom) = -4.088
- energy relative to the elements, uncorrected (eV/atom) = -0.96
- total moment (μB/f.u.) = 0.00

abc: 7.0182 7.0182 10.7151
angles: 90.00 90.00 90.00
Closest atoms and distances in Å follow each position.
Space group I4_1md (No. 109)
Asymmetric unit:
Bi1 0.0000 0.2591 0.0000 [8 per cell]  2 F 2.38, 1 S 2.60
S1 0.0000 0.0000 0.5653 [4 per cell]  2 Bi 2.60
F1 0.0000 0.2880 0.2846 [8 per cell]  2 Bi 2.38